[1]
The following is a PBE-GGA calculation of Rb2Ge2P after structural relaxation, from the Alexandria database.

Geometry as CIF:
```
data_Rb2Ge2P
_chemical_formula_sum 'Rb4 Ge4 P2'
_space_group_name_H-M_alt 'P 4/m b m'
_space_group_IT_number 127
_space_group_name_Hall '-P 4 2ab'
_cell_length_a 7.016
_cell_length_b 7.016
_cell_length_c 5.792
_cell_angle_alpha 90.00
_cell_angle_beta 90.00
_cell_angle_gamma 90.00
loop_
_atom_site_label
_atom_site_type_symbol
_atom_site_fract_x
_atom_site_fract_y
_atom_site_fract_z
Rb1 Rb 0.191 0.309 0.000
Ge1 Ge 0.129 0.629 0.500
P1 P 0.000 0.000 0.500
```

Values from the calculation:
E_tot, Ry/atom: -0.2357

=====

[2]
The following is a PBE-GGA calculation of RbGeP3 after structural relaxation, from the Alexandria database.

Geometry as CIF:
```
data_RbGeP3
_chemical_formula_sum 'Rb1 Ge1 P3'
_space_group_name_H-M_alt 'P m -3 m'
_space_group_IT_number 221
_space_group_name_Hall '-P 4 2 3'
_cell_length_a 4.944
_cell_length_b 4.944
_cell_length_c 4.944
_cell_angle_alpha 90.00
_cell_angle_beta 90.00
_cell_angle_gamma 90.00
loop_
_atom_site_label
_atom_site_type_symbol
_atom_site_fract_x
_atom_site_fract_y
_atom_site_fract_z
Rb1 Rb 0.000 0.000 0.000
Ge1 Ge 0.500 0.500 0.500
P1 P 0.000 0.500 0.500
```

Values from the calculation:
E_tot, Ry/atom: -0.2753

=====

[3]
The following is a PBE-GGA calculation of RbGe6P8 after structural relaxation, from the Alexandria database.

Geometry as CIF:
```
data_RbGe6P8
_chemical_formula_sum 'Rb3 Ge18 P24'
_space_group_name_H-M_alt 'R -3'
_space_group_IT_number 148
_space_group_name_Hall '-R 3'
_cell_length_a 9.3894
_cell_length_b 9.3894
_cell_length_c 15.2660
_cell_angle_alpha 90.00
_cell_angle_beta 90.00
_cell_angle_gamma 120.00
loop_
_atom_site_label
_atom_site_type_symbol
_atom_site_fract_x
_atom_site_fract_y
_atom_site_fract_z
Rb1 Rb 0.0000 0.0000 0.0000
Ge1 Ge 0.0024 0.1923 0.6615
P1 P 0.0000 0.0000 0.2348
P2 P 0.0006 0.2368 0.4236
```

Values from the calculation:
E_tot, Ry/atom: -0.3430

=====

[4]
The following is a PBE-GGA calculation of Rb5GeP3 after structural relaxation, from the Alexandria database.

Geometry as CIF:
```
data_Rb5GeP3
_chemical_formula_sum 'Rb20 Ge4 P12'
_space_group_name_H-M_alt 'P n m a'
_space_group_IT_number 62
_space_group_name_Hall '-P 2ac 2n'
_cell_length_a 15.711
_cell_length_b 5.487
_cell_length_c 14.972
_cell_angle_alpha 90.00
_cell_angle_beta 90.00
_cell_angle_gamma 90.00
loop_
_atom_site_label
_atom_site_type_symbol
_atom_site_fract_x
_atom_site_fract_y
_atom_site_fract_z
Rb1 Rb 0.016 0.250 0.120
Rb2 Rb 0.067 0.250 0.428
Rb3 Rb 0.084 0.250 0.684
Rb4 Rb 0.196 0.750 0.059
Rb5 Rb 0.234 0.750 0.770
Ge1 Ge 0.219 0.750 0.419
P1 P 0.134 0.250 0.911
P2 P 0.137 0.750 0.292
P3 P 0.155 0.750 0.556
```

Values from the calculation:
E_tot, Ry/atom: -0.2333

=====

[5]
The following is a PBE-GGA calculation of Rb2Ge3P2 after structural relaxation, from the Alexandria database.

Geometry as CIF:
```
data_Rb2Ge3P2
_chemical_formula_sum 'Rb4 Ge6 P4'
_space_group_name_H-M_alt 'C 1 2/m 1'
_space_group_IT_number 12
_space_group_name_Hall '-C 2y'
_cell_length_a 14.833
_cell_length_b 3.646
_cell_length_c 8.191
_cell_angle_alpha 90.00
_cell_angle_beta 108.98
_cell_angle_gamma 90.00
loop_
_atom_site_label
_atom_site_type_symbol
_atom_site_fract_x
_atom_site_fract_y
_atom_site_fract_z
Rb1 Rb 0.138 0.000 0.236
Ge1 Ge 0.000 0.500 0.500
Ge2 Ge 0.101 0.500 0.817
P1 P 0.154 0.000 0.675
```

Values from the calculation:
E_tot, Ry/atom: -0.2869

=====

[6]
The following is a PBE-GGA calculation of Rb2Ge2P after structural relaxation, from the Alexandria database.

Geometry as CIF:
```
data_Rb2Ge2P
_chemical_formula_sum 'Rb8 Ge8 P4'
_space_group_name_H-M_alt 'C 1 2/m 1'
_space_group_IT_number 12
_space_group_name_Hall '-C 2y'
_cell_length_a 7.868
_cell_length_b 12.265
_cell_length_c 8.512
_cell_angle_alpha 90.00
_cell_angle_beta 115.70
_cell_angle_gamma 90.00
loop_
_atom_site_label
_atom_site_type_symbol
_atom_site_fract_x
_atom_site_fract_y
_atom_site_fract_z
Rb1 Rb 0.224 0.161 0.266
Ge1 Ge 0.144 0.500 0.303
Ge2 Ge 0.233 0.000 0.917
P1 P 0.000 0.372 0.000
```

Values from the calculation:
E_tot, Ry/atom: -0.2453

=====

[7]
The following is a PBE-GGA calculation of RbGeP3 after structural relaxation, from the Alexandria database.

Geometry as CIF:
```
data_RbGeP3
_chemical_formula_sum 'Rb6 Ge6 P18'
_space_group_name_H-M_alt 'R 3 c'
_space_group_IT_number 161
_space_group_name_Hall 'R 3 -2"c'
_cell_length_a 7.8997
_cell_length_b 7.8997
_cell_length_c 18.3052
_cell_angle_alpha 90.00
_cell_angle_beta 90.00
_cell_angle_gamma 120.00
loop_
_atom_site_label
_atom_site_type_symbol
_atom_site_fract_x
_atom_site_fract_y
_atom_site_fract_z
Rb1 Rb 0.0000 0.0000 0.0000
Ge1 Ge 0.0000 0.0000 0.2955
P1 P 0.1751 0.0291 0.1846
```

Values from the calculation:
E_tot, Ry/atom: -0.3308

=====

[8]
The following is a PBE-GGA calculation of Rb3Ge4P2 after structural relaxation, from the Alexandria database.

Geometry as CIF:
```
data_Rb3Ge4P2
_chemical_formula_sum 'Rb3 Ge4 P2'
_space_group_name_H-M_alt 'P -1'
_space_group_IT_number 2
_space_group_name_Hall '-P 1'
_cell_length_a 3.829
_cell_length_b 7.307
_cell_length_c 10.209
_cell_angle_alpha 74.88
_cell_angle_beta 89.07
_cell_angle_gamma 75.52
loop_
_atom_site_label
_atom_site_type_symbol
_atom_site_fract_x
_atom_site_fract_y
_atom_site_fract_z
Rb1 Rb 0.000 0.000 0.000
Rb2 Rb 0.379 0.769 0.386
Ge1 Ge 0.261 0.429 0.930
Ge2 Ge 0.376 0.761 0.763
P1 P 0.051 0.398 0.309
```

Values from the calculation:
E_tot, Ry/atom: -0.2726